# GGA-PBE Ta2IrPt, relaxed
# Crystal system: tetragonal
# SG: I4/mmm
# Magnetic moment (μB per atom): 0.000
# DFT formation energy (meV/atom): -643
data_Ta2IrPt
_chemical_formula_sum 'Ta2 Ir1 Pt1'
_space_group_name_H-M_alt 'P 1'
_space_group_IT_number 1
_space_group_name_Hall 'P 1'
_cell_length_a 4.9105
_cell_length_b 4.9105
_cell_length_c 4.9105
_cell_angle_alpha 131.51
_cell_angle_beta 131.51
_cell_angle_gamma 71.00
loop_
_atom_site_label
_atom_site_type_symbol
_atom_site_fract_x
_atom_site_fract_y
_atom_site_fract_z
_atom_site_occupancy
Ta1 Ta 0.0000 0.0000 0.0000 1
Ta2 Ta 0.5000 0.5000 0.0000 1
Ir1 Ir 0.2500 0.7500 0.5000 1
Pt1 Pt 0.7500 0.2500 0.5000 1